1.
# PBE YTl2Sb, optimized geometry
data_YTl2Sb
_chemical_formula_sum 'Y2 Tl4 Sb2'
_space_group_name_H-M_alt 'I -4 m 2'
_space_group_IT_number 119
_space_group_name_Hall 'I -4 -2'
_cell_length_a 4.709
_cell_length_b 4.709
_cell_length_c 9.905
_cell_angle_alpha 90.00
_cell_angle_beta 90.00
_cell_angle_gamma 90.00
loop_
_atom_site_label
_atom_site_type_symbol
_atom_site_fract_x
_atom_site_fract_y
_atom_site_fract_z
Y1 Y 0.000 0.000 0.000
Tl1 Tl 0.000 0.000 0.500
Tl2 Tl 0.000 0.500 0.250
Sb1 Sb 0.000 0.500 0.750
# Total energy (Ry per atom): -0.3073
# Energy above the lowest structure with this stoichiometry (kcal/mol of atoms): 0.397
# Uncorrected formation energy (eV per atom): -0.35

=====

2.
# PBE YTl4Sb, optimized geometry
data_YTl4Sb
_chemical_formula_sum 'Y4 Tl16 Sb4'
_space_group_name_H-M_alt 'F -4 3 m'
_space_group_IT_number 216
_space_group_name_Hall 'F -4 2 3'
_cell_length_a 8.924
_cell_length_b 8.924
_cell_length_c 8.924
_cell_angle_alpha 90.00
_cell_angle_beta 90.00
_cell_angle_gamma 90.00
loop_
_atom_site_label
_atom_site_type_symbol
_atom_site_fract_x
_atom_site_fract_y
_atom_site_fract_z
Y1 Y 0.000 0.000 0.000
Tl1 Tl 0.125 0.125 0.375
Sb1 Sb 0.250 0.250 0.750
# Total energy (Ry per atom): -0.2392
# Uncorrected formation energy (eV per atom): 0.09

=====

3.
# PBE YTlSb, optimized geometry
data_YTlSb
_chemical_formula_sum 'Y1 Tl1 Sb1'
_space_group_name_H-M_alt 'P 3 m 1'
_space_group_IT_number 156
_cell_length_a 3.5442
_cell_length_b 3.5442
_cell_length_c 7.9491
_cell_angle_alpha 90.00
_cell_angle_beta 90.00
_cell_angle_gamma 120.00
loop_
_space_group_symop_operation_xyz
'x,y,z'
'-y,x-y,z'
'-x+y,-x,z'
'-y,-x,z'
'-x+y,y,z'
'x,x-y,z'
loop_
_atom_site_label
_atom_site_type_symbol
_atom_site_fract_x
_atom_site_fract_y
_atom_site_fract_z
Y1 Y 0.0000 0.0000 0.0000
Tl1 Tl 0.3333 0.6667 0.6646
Sb1 Sb 0.6667 0.3333 0.3150
# Total energy (Ry per atom): -0.3290
# Energy above the lowest structure with this stoichiometry (kcal/mol of atoms): 8.437
# Uncorrected formation energy (eV per atom): -0.16

=====

4.
# PBE YTl2Sb2, optimized geometry
data_YTl2Sb2
_chemical_formula_sum 'Y2 Tl4 Sb4'
_space_group_name_H-M_alt 'P 4/m b m'
_space_group_IT_number 127
_space_group_name_Hall '-P 4 2ab'
_cell_length_a 7.886
_cell_length_b 7.886
_cell_length_c 5.092
_cell_angle_alpha 90.00
_cell_angle_beta 90.00
_cell_angle_gamma 90.00
loop_
_atom_site_label
_atom_site_type_symbol
_atom_site_fract_x
_atom_site_fract_y
_atom_site_fract_z
Y1 Y 0.000 0.000 0.000
Tl1 Tl 0.185 0.315 0.500
Sb1 Sb 0.130 0.630 0.000
# Total energy (Ry per atom): -0.3024
# Energy above the lowest structure with this stoichiometry (kcal/mol of atoms): 0.000
# Uncorrected formation energy (eV per atom): -0.23

=====

5.
# PBE YTl2Sb, optimized geometry
data_YTl2Sb
_chemical_formula_sum 'Y1 Tl2 Sb1'
_space_group_name_H-M_alt 'P 4/m m m'
_space_group_IT_number 123
_space_group_name_Hall '-P 4 2'
_cell_length_a 4.160
_cell_length_b 4.160
_cell_length_c 6.490
_cell_angle_alpha 90.00
_cell_angle_beta 90.00
_cell_angle_gamma 90.00
loop_
_atom_site_label
_atom_site_type_symbol
_atom_site_fract_x
_atom_site_fract_y
_atom_site_fract_z
Y1 Y 0.000 0.000 0.000
Tl1 Tl 0.500 0.500 0.254
Sb1 Sb 0.000 0.000 0.500
# Total energy (Ry per atom): -0.2936
# Energy above the lowest structure with this stoichiometry (kcal/mol of atoms): 4.696
# Uncorrected formation energy (eV per atom): -0.16

=====

6.
# PBE YTl2Sb, optimized geometry
data_YTl2Sb
_chemical_formula_sum 'Y2 Tl4 Sb2'
_space_group_name_H-M_alt 'C m m m'
_space_group_IT_number 65
_space_group_name_Hall '-C 2 2'
_cell_length_a 3.973
_cell_length_b 5.656
_cell_length_c 10.219
_cell_angle_alpha 90.00
_cell_angle_beta 90.00
_cell_angle_gamma 90.00
loop_
_atom_site_label
_atom_site_type_symbol
_atom_site_fract_x
_atom_site_fract_y
_atom_site_fract_z
Y1 Y 0.000 0.000 0.000
Tl1 Tl 0.000 0.500 0.251
Sb1 Sb 0.000 0.000 0.500
# Total energy (Ry per atom): -0.2795
# Energy above the lowest structure with this stoichiometry (kcal/mol of atoms): 9.106
# Uncorrected formation energy (eV per atom): 0.03

=====

7.
# PBE Y2TlSb2, optimized geometry
data_Y2TlSb2
_chemical_formula_sum 'Y4 Tl2 Sb4'
_space_group_name_H-M_alt 'P 4/m b m'
_space_group_IT_number 127
_space_group_name_Hall '-P 4 2ab'
_cell_length_a 8.513
_cell_length_b 8.513
_cell_length_c 4.009
_cell_angle_alpha 90.00
_cell_angle_beta 90.00
_cell_angle_gamma 90.00
loop_
_atom_site_label
_atom_site_type_symbol
_atom_site_fract_x
_atom_site_fract_y
_atom_site_fract_z
Y1 Y 0.153 0.347 0.000
Tl1 Tl 0.000 0.000 0.500
Sb1 Sb 0.146 0.646 0.500
# Total energy (Ry per atom): -0.3990
# Energy above the lowest structure with this stoichiometry (kcal/mol of atoms): 0.000
# Uncorrected formation energy (eV per atom): -0.72

=====

8.
# PBE YTl2Sb2, optimized geometry
data_YTl2Sb2
_chemical_formula_sum 'Y2 Tl4 Sb4'
_space_group_name_H-M_alt 'P 4/m b m'
_space_group_IT_number 127
_space_group_name_Hall '-P 4 2ab'
_cell_length_a 8.417
_cell_length_b 8.417
_cell_length_c 4.080
_cell_angle_alpha 90.00
_cell_angle_beta 90.00
_cell_angle_gamma 90.00
loop_
_atom_site_label
_atom_site_type_symbol
_atom_site_fract_x
_atom_site_fract_y
_atom_site_fract_z
Y1 Y 0.000 0.000 0.000
Tl1 Tl 0.132 0.368 0.000
Sb1 Sb 0.170 0.670 0.500
# Total energy (Ry per atom): -0.2887
# Energy above the lowest structure with this stoichiometry (kcal/mol of atoms): 4.296
# Uncorrected formation energy (eV per atom): -0.04

=====

9.
# PBE YTlSb, optimized geometry
data_YTlSb
_chemical_formula_sum 'Y4 Tl4 Sb4'
_space_group_name_H-M_alt 'F -4 3 m'
_space_group_IT_number 216
_space_group_name_Hall 'F -4 2 3'
_cell_length_a 7.438
_cell_length_b 7.438
_cell_length_c 7.438
_cell_angle_alpha 90.00
_cell_angle_beta 90.00
_cell_angle_gamma 90.00
loop_
_atom_site_label
_atom_site_type_symbol
_atom_site_fract_x
_atom_site_fract_y
_atom_site_fract_z
Y1 Y 0.000 0.000 0.000
Tl1 Tl 0.000 0.000 0.500
Sb1 Sb 0.250 0.250 0.750
# Total energy (Ry per atom): -0.3348
# Energy above the lowest structure with this stoichiometry (kcal/mol of atoms): 6.641
# Uncorrected formation energy (eV per atom): -0.24

=====

10.
# PBE Y5Tl2Sb, optimized geometry
data_Y5Tl2Sb
_chemical_formula_sum 'Y10 Tl4 Sb2'
_space_group_name_H-M_alt 'P b a m'
_space_group_IT_number 55
_cell_length_a 8.180
_cell_length_b 12.449
_cell_length_c 4.672
_cell_angle_alpha 90.00
_cell_angle_beta 90.00
_cell_angle_gamma 90.00
loop_
_space_group_symop_operation_xyz
'x,y,z'
'-x,-y,-z'
'-x,-y,z'
'x,y,-z'
'x+1/2,-y+1/2,-z'
'-x+1/2,y+1/2,z'
'-x+1/2,y+1/2,-z'
'x+1/2,-y+1/2,z'
loop_
_atom_site_label
_atom_site_type_symbol
_atom_site_fract_x
_atom_site_fract_y
_atom_site_fract_z
Y1 Y 0.000 0.000 0.000
Y2 Y 0.158 0.279 0.000
Y3 Y 0.205 0.578 0.500
Tl1 Tl 0.078 0.828 0.500
Sb1 Sb 0.000 0.500 0.000
# Total energy (Ry per atom): -0.4152
# Uncorrected formation energy (eV per atom): -0.50

=====

11.
# PBE YTlSb, optimized geometry
data_YTlSb
_chemical_formula_sum 'Y4 Tl4 Sb4'
_space_group_name_H-M_alt 'C 1 2/m 1'
_space_group_IT_number 12
_cell_length_a 11.009
_cell_length_b 4.193
_cell_length_c 7.864
_cell_angle_alpha 90.00
_cell_angle_beta 102.23
_cell_angle_gamma 90.00
loop_
_space_group_symop_operation_xyz
'x,y,z'
'-x,-y,-z'
'-x,y,-z'
'x,-y,z'
'x+1/2,y+1/2,z'
'-x+1/2,-y+1/2,-z'
'-x+1/2,y+1/2,-z'
'x+1/2,-y+1/2,z'
loop_
_atom_site_label
_atom_site_type_symbol
_atom_site_fract_x
_atom_site_fract_y
_atom_site_fract_z
Y1 Y 0.147 0.000 0.147
Tl1 Tl 0.145 0.000 0.574
Sb1 Sb 0.072 0.500 0.836
# Total energy (Ry per atom): -0.3559
# Energy above the lowest structure with this stoichiometry (kcal/mol of atoms): 0.000
# Uncorrected formation energy (eV per atom): -0.53

=====

12.
# PBE YTlSb, optimized geometry
data_YTlSb
_chemical_formula_sum 'Y2 Tl2 Sb2'
_space_group_name_H-M_alt 'I 4 m m'
_space_group_IT_number 107
_space_group_name_Hall 'I 4 -2'
_cell_length_a 4.152
_cell_length_b 4.152
_cell_length_c 10.006
_cell_angle_alpha 90.00
_cell_angle_beta 90.00
_cell_angle_gamma 90.00
loop_
_atom_site_label
_atom_site_type_symbol
_atom_site_fract_x
_atom_site_fract_y
_atom_site_fract_z
Y1 Y 0.000 0.000 0.000
Tl1 Tl 0.000 0.000 0.320
Sb1 Sb 0.000 0.000 0.630
# Total energy (Ry per atom): -0.3469
# Energy above the lowest structure with this stoichiometry (kcal/mol of atoms): 2.834
# Uncorrected formation energy (eV per atom): -0.40

=====

- Which formula does entry 4 have?
  YTl2Sb2

=====

Copy entry 7 word for word.
# PBE Y2TlSb2, optimized geometry
data_Y2TlSb2
_chemical_formula_sum 'Y4 Tl2 Sb4'
_space_group_name_H-M_alt 'P 4/m b m'
_space_group_IT_number 127
_space_group_name_Hall '-P 4 2ab'
_cell_length_a 8.513
_cell_length_b 8.513
_cell_length_c 4.009
_cell_angle_alpha 90.00
_cell_angle_beta 90.00
_cell_angle_gamma 90.00
loop_
_atom_site_label
_atom_site_type_symbol
_atom_site_fract_x
_atom_site_fract_y
_atom_site_fract_z
Y1 Y 0.153 0.347 0.000
Tl1 Tl 0.000 0.000 0.500
Sb1 Sb 0.146 0.646 0.500
# Total energy (Ry per atom): -0.3990
# Energy above the lowest structure with this stoichiometry (kcal/mol of atoms): 0.000
# Uncorrected formation energy (eV per atom): -0.72

=====

- Look up the total energy of the twelfth one.
  -0.3469 Ry per atom